Density functional theory data (PBE) for a geometry-optimized ZnPbCl2 structure.

Lattice parameters (Å, degrees): 4.8591 4.8591 4.1865 90.00 90.00 90.30
Positions (direct):
Zn1 0.0000 0.0000 0.0000
Pb1 0.5000 0.5000 0.0000
Cl1 0.0000 0.5000 0.5000
Cl2 0.5000 0.0000 0.5000

Formation energy without anion corrections (eV per atom): -0.432
Symmetry: Cmmm

---

Density functional theory data (PBE) for a geometry-optimized ZnSbAsO6 structure.

Lattice parameters (Å, degrees): 5.0657 5.0657 9.1509 90.00 90.00 120.00
Positions (direct):
Zn1 0.0000 0.0000 0.0000
Zn2 0.0000 0.0000 0.5000
Sb1 0.3333 0.6667 0.2500
Sb2 0.6667 0.3333 0.7500
As1 0.3333 0.6667 0.7500
As2 0.6667 0.3333 0.2500
O1 0.0205 0.3688 0.6347
O2 0.0205 0.6517 0.8653
O3 0.3483 0.3688 0.8653
O4 0.3483 0.9795 0.6347
O5 0.3688 0.0205 0.1347
O6 0.3688 0.3483 0.3653
O7 0.6312 0.6517 0.6347
O8 0.6312 0.9795 0.8653
O9 0.6517 0.0205 0.3653
O10 0.6517 0.6312 0.1347
O11 0.9795 0.3483 0.1347
O12 0.9795 0.6312 0.3653

Formation energy without anion corrections (eV per atom): -1.289
Symmetry: P-31c

---

Density functional theory data (PBE) for a geometry-optimized Sc2SiOs structure.

Lattice parameters (Å, degrees): 5.1986 5.1986 8.3008 114.14 114.14 54.47
Positions (direct):
Sc1 0.1725 0.1983 0.0937
Sc2 0.1983 0.1725 0.5937
Sc3 0.8017 0.8275 0.4063
Sc4 0.8275 0.8017 0.9063
Si1 0.2848 0.7152 0.7500
Si2 0.7152 0.2848 0.2500
Os1 0.2187 0.7813 0.2500
Os2 0.7813 0.2187 0.7500

Formation energy without anion corrections (eV per atom): -0.359
Symmetry: C2/c

---

Density functional theory data (PBE) for a geometry-optimized CaZnTc2 structure.

Lattice parameters (Å, degrees): 2.7164 2.7164 9.1848 90.00 90.00 100.33
Positions (direct):
Ca1 0.0000 0.0000 0.0000
Zn1 0.0000 0.0000 0.5000
Tc1 0.5000 0.5000 0.2763
Tc2 0.5000 0.5000 0.7237

ΔH_f (0 K) (eV per atom): 0.495
Symmetry: Cmmm

---

Density functional theory data (PBE) for a geometry-optimized ZrMn2Os structure.

Lattice parameters (Å, degrees): 4.3893 4.3893 3.0274 90.00 90.00 90.00
Positions (direct):
Zr1 0.0000 0.0000 0.0000
Mn1 0.0000 0.5000 0.5000
Mn2 0.5000 0.0000 0.5000
Os1 0.5000 0.5000 0.0000

ΔH_f (0 K) (eV per atom): 0.084
Symmetry: P4/mmm

---

Density functional theory data (PBE) for a geometry-optimized Y2ScI structure.

Lattice parameters (Å, degrees): 7.0167 7.0167 7.0167 102.19 102.19 125.28
Positions (direct):
Y1 0.0848 0.6250 0.9598
Y2 0.3750 0.3348 0.4598
Y3 0.6652 0.1250 0.0402
Y4 0.8750 0.9152 0.5402
Sc1 0.2500 0.7500 0.5000
Sc2 0.5000 0.5000 0.0000
I1 0.0000 0.0000 0.0000
I2 0.7500 0.2500 0.5000

Formation energy without anion corrections (eV per atom): 0.063
Symmetry: I-42d

---

Density functional theory data (PBE) for a geometry-optimized Pu4PaTe5 structure.

Lattice parameters (Å, degrees): 6.2449 7.6424 7.6519 80.45 66.00 66.04
Positions (direct):
Pu1 0.0992 0.2003 0.1011
Pu2 0.3002 0.6010 0.2998
Pu3 0.6998 0.3990 0.7002
Pu4 0.9008 0.7997 0.8989
Pa1 0.5000 0.0000 0.5000
Te1 0.0000 0.0000 0.5000
Te2 0.1999 0.3994 0.6996
Te3 0.4001 0.8005 0.8995
Te4 0.5999 0.1995 0.1005
Te5 0.8001 0.6006 0.3004

Formation energy without anion corrections (eV per atom): -0.977
Symmetry: P-1

---

Density functional theory data (PBE) for a geometry-optimized Nd6Dy2YEr3 structure.

Lattice parameters (Å, degrees): 6.2654 6.2654 11.8268 95.05 95.05 119.99
Positions (direct):
Nd1 0.0818 0.4159 0.2488
Nd2 0.2501 0.2501 0.7515
Nd3 0.4159 0.0818 0.2488
Nd4 0.5841 0.9182 0.7512
Nd5 0.7499 0.7499 0.2485
Nd6 0.9182 0.5841 0.7512
Dy1 0.1667 0.8333 0.5000
Dy2 0.8333 0.1667 0.5000
Y1 0.5000 0.5000 0.5000
Er1 0.0000 0.0000 0.0000
Er2 0.3333 0.6667 0.0000
Er3 0.6667 0.3333 0.0000

ΔH_f (0 K) (eV per atom): 0.012
Symmetry: C2/m

---

Density functional theory data (PBE) for a geometry-optimized CaNi2Ge structure.

Lattice parameters (Å, degrees): 3.8523 3.8523 9.2457 90.00 90.00 90.00
Positions (direct):
Ca1 0.2500 0.2500 0.2103
Ca2 0.7500 0.7500 0.7897
Ni1 0.2500 0.2500 0.9088
Ni2 0.2500 0.7500 0.5000
Ni3 0.7500 0.2500 0.5000
Ni4 0.7500 0.7500 0.0912
Ge1 0.2500 0.2500 0.6530
Ge2 0.7500 0.7500 0.3470

ΔH_f (0 K) (eV per atom): -0.243
Symmetry: P4/nmm

---

Density functional theory data (PBE) for a geometry-optimized Li4TiO4 structure.

Lattice parameters (Å, degrees): 5.5807 5.5807 5.5807 127.49 127.49 77.46
Positions (direct):
Li1 0.0000 0.5000 0.5000
Li2 0.1932 0.1932 0.0000
Li3 0.5000 0.0000 0.5000
Li4 0.8068 0.8068 0.0000
Ti1 0.5000 0.5000 0.0000
O1 0.1671 0.6093 0.0000
O2 0.3907 0.3907 0.5578
O3 0.6093 0.1671 0.0000
O4 0.8329 0.8329 0.4422

Formation energy without anion corrections (eV per atom): -2.252
Symmetry: I-42m

---

Density functional theory data (PBE) for a geometry-optimized KNaLiI2 structure.

Lattice parameters (Å, degrees): 5.6961 5.6961 6.2118 90.00 90.00 90.00
Positions (direct):
K1 0.0000 0.0000 0.0000
Na1 0.5000 0.5000 0.0000
Li1 0.0000 0.0000 0.5000
I1 0.0000 0.5000 0.5000
I2 0.5000 0.0000 0.5000

Formation energy without anion corrections (eV per atom): -0.644
Symmetry: P4/mmm

---

Density functional theory data (PBE) for a geometry-optimized ScAsSeN2 structure.

Lattice parameters (Å, degrees): 3.8457 3.8457 5.1150 90.00 90.00 90.00
Positions (direct):
Sc1 0.0000 0.0000 0.0000
As1 0.5000 0.5000 0.5000
Se1 0.5000 0.5000 0.0000
N1 0.0000 0.5000 0.5000
N2 0.5000 0.0000 0.5000

Formation energy without anion corrections (eV per atom): 0.508
Symmetry: P4/mmm

---

Density functional theory data (PBE) for a geometry-optimized PmTaSb structure.

Lattice parameters (Å, degrees): 12.7492 12.7492 12.7492 163.76 163.76 23.05
Positions (direct):
Pm1 0.1403 0.1403 0.0000
Pm2 0.8597 0.8597 0.0000
Ta1 0.2725 0.2725 0.0000
Ta2 0.7275 0.7275 0.0000
Sb1 0.4418 0.4418 0.0000
Sb2 0.5582 0.5582 0.0000

Formation energy without anion corrections (eV per atom): -0.054
Symmetry: I4/mmm

---

Density functional theory data (PBE) for a geometry-optimized CuAsPt2 structure.

Lattice parameters (Å, degrees): 3.4907 3.4907 5.1486 90.00 90.00 90.00
Positions (direct):
Cu1 0.0000 0.0000 0.0000
As1 0.5000 0.5000 0.6677
Pt1 0.0000 0.0000 0.4952
Pt2 0.5000 0.5000 0.1640

ΔH_f (0 K) (eV per atom): -0.101
Symmetry: P4mm

---

Density functional theory data (PBE) for a geometry-optimized Er11Ni4Hg9 structure.

Lattice parameters (Å, degrees): 12.8874 12.8874 3.5495 90.00 90.00 112.69
Positions (direct):
Er1 0.0000 0.0000 0.0000
Er2 0.0823 0.4167 0.0000
Er3 0.1645 0.8355 0.0000
Er4 0.3074 0.3074 0.0000
Er5 0.3727 0.6273 0.0000
Er6 0.4167 0.0823 0.0000
Er7 0.5833 0.9177 0.0000
Er8 0.6273 0.3727 0.0000
Er9 0.6926 0.6926 0.0000
Er10 0.8355 0.1645 0.0000
Er11 0.9177 0.5833 0.0000
Ni1 0.2524 0.4505 0.5000
Ni2 0.4505 0.2524 0.5000
Ni3 0.5495 0.7476 0.5000
Ni4 0.7476 0.5495 0.5000
Hg1 0.0717 0.2181 0.5000
Hg2 0.1544 0.6301 0.5000
Hg3 0.2181 0.0717 0.5000
Hg4 0.3699 0.8456 0.5000
Hg5 0.5000 0.5000 0.5000
Hg6 0.6301 0.1544 0.5000
Hg7 0.7819 0.9283 0.5000
Hg8 0.8456 0.3699 0.5000
Hg9 0.9283 0.7819 0.5000

ΔH_f (0 K) (eV per atom): -0.496
Symmetry: Cmmm

---

Density functional theory data (PBE) for a geometry-optimized Ac2CeN structure.

Lattice parameters (Å, degrees): 3.4350 3.4350 9.3076 90.00 90.00 90.00
Positions (direct):
Ac1 0.0000 0.0000 0.1699
Ac2 0.0000 0.0000 0.8301
Ce1 0.5000 0.5000 0.5000
N1 0.5000 0.5000 0.0000

Formation energy without anion corrections (eV per atom): 0.058
Symmetry: P4/mmm

---

Density functional theory data (PBE) for a geometry-optimized Sb2IrOs structure.

Lattice parameters (Å, degrees): 4.7414 4.7414 4.7414 60.00 60.00 60.00
Positions (direct):
Sb1 0.0000 0.0000 0.0000
Sb2 0.2500 0.2500 0.2500
Ir1 0.7500 0.7500 0.7500
Os1 0.5000 0.5000 0.5000

Formation energy without anion corrections (eV per atom): 0.895
Symmetry: F-43m

---

Density functional theory data (PBE) for a geometry-optimized CaNd8Y2 structure.

Lattice parameters (Å, degrees): 9.6112 9.6112 9.6112 145.26 127.99 64.07
Positions (direct):
Ca1 0.0000 0.0000 0.0000
Nd1 0.1595 0.8600 0.2995
Nd2 0.1638 0.6638 0.5000
Nd3 0.3036 0.5000 0.8036
Nd4 0.4395 0.1400 0.2995
Nd5 0.5605 0.8600 0.7005
Nd6 0.6964 0.5000 0.1964
Nd7 0.8362 0.3362 0.5000
Nd8 0.8405 0.1400 0.7005
Y1 0.2980 0.2980 0.0000
Y2 0.7020 0.7020 0.0000

ΔH_f (0 K) (eV per atom): 0.144
Symmetry: Immm

---

Density functional theory data (PBE) for a geometry-optimized Ce2NdInN structure.

Lattice parameters (Å, degrees): 4.8889 4.8889 5.1156 90.00 90.00 90.00
Positions (direct):
Ce1 0.0000 0.5000 0.0000
Ce2 0.5000 0.0000 0.0000
Nd1 0.0000 0.0000 0.5000
In1 0.5000 0.5000 0.5000
N1 0.0000 0.0000 0.0000

Formation energy without anion corrections (eV per atom): -0.819
Symmetry: P4/mmm

---

Density functional theory data (PBE) for a geometry-optimized TiCoB structure.

Lattice parameters (Å, degrees): 4.9842 4.9842 4.9842 33.85 33.85 33.85
Positions (direct):
Ti1 0.0000 0.0000 0.0000
Co1 0.1944 0.1944 0.1944
B1 0.7830 0.7830 0.7830

ΔH_f (0 K) (eV per atom): -0.059
Symmetry: R3m